Entry 1:
A plane-wave DFT calculation with PBE-GGA was carried out for a relaxed Y4BiTe2Se crystal.

extended XYZ file:
```
8
Lattice="7.515 0.000 0.000 0.000 4.307 0.000 -2.472 0.000 7.114" Properties=species:S:1:pos:R:3 pbc="T T T"
Y 1.130 0.000 1.605
Y -0.117 2.154 5.428
Y 5.161 2.154 1.686
Y 3.913 0.000 5.509
Bi 3.758 0.000 0.000
Te -1.236 0.000 3.557
Te 2.522 2.154 3.557
Se 0.000 2.154 0.000
```

Summary:
D(E_F), states/eV per cell: 4.1
SG: No. 10
Energy relative to the elements, uncorrected, eV/atom: -1.321
Magnetization, Bohr magnetons per cell: 0.0
V, A^3/atom: 28.78

---

Entry 2:
A plane-wave DFT calculation with PBE-GGA was carried out for a relaxed CeMg2ZnAu2 crystal.

extended XYZ file:
```
6
Lattice="-2.176 2.176 8.097 2.176 -2.176 8.097 2.176 2.176 -8.097" Properties=species:S:1:pos:R:3 pbc="T T T"
Ce 0.000 0.000 0.000
Mg 2.176 0.000 4.049
Mg 0.000 2.176 4.049
Zn 0.000 0.000 8.097
Au 0.000 0.000 5.644
Au 0.000 0.000 10.551
```

Summary:
D(E_F), states/eV per cell: 10.8
SG: No. 139
Magnetization, Bohr magnetons per cell: 2.0
Calculated formation energy, eV/atom: -0.166
V, A^3/atom: 25.57

---

Entry 3:
A plane-wave DFT calculation with PBE-GGA was carried out for a relaxed Ac4Tl2Ir crystal.

extended XYZ file:
```
7
Lattice="9.288 -2.125 0.000 9.288 2.125 0.000 -2.588 0.000 6.689" Properties=species:S:1:pos:R:3 pbc="T T T"
Ac 0.580 0.000 2.848
Ac 7.147 0.000 0.262
Ac 8.840 0.000 6.426
Ac 15.407 0.000 3.840
Tl 3.977 0.000 2.086
Tl 12.011 0.000 4.602
Ir 0.000 0.000 0.000
```

Summary:
D(E_F), states/eV per cell: 5.7
SG: No. 12
E above lowest polymorph, meV per atom: 53
Magnetization, Bohr magnetons per cell: 0.0
Calculated formation energy, eV/atom: -0.381
V, A^3/atom: 37.72

---

Entry 4:
A plane-wave DFT calculation with PBE-GGA was carried out for a relaxed AlHgOs2 crystal.

extended XYZ file:
```
4
Lattice="-1.989 1.989 3.999 1.989 -1.989 3.999 1.989 1.989 -3.999" Properties=species:S:1:pos:R:3 pbc="T T T"
Al 0.000 0.000 0.000
Hg 0.000 0.000 3.999
Os 1.989 0.000 1.999
Os 0.000 1.989 1.999
```

Summary:
D(E_F), states/eV per cell: 5.0
SG: No. 139
E above lowest polymorph, meV per atom: 434
Magnetization, Bohr magnetons per cell: 0.0
Calculated formation energy, eV/atom: 0.634
V, A^3/atom: 15.82

---

Entry 5:
A plane-wave DFT calculation with PBE-GGA was carried out for a relaxed K2ScRu crystal.

extended XYZ file:
```
4
Lattice="4.393 -1.672 0.000 4.393 1.672 0.000 -2.201 0.000 10.054" Properties=species:S:1:pos:R:3 pbc="T T T"
K 0.000 0.000 0.000
K 0.009 0.000 5.948
Sc 2.340 0.000 2.975
Ru 4.881 0.000 2.974
```

Summary:
D(E_F), states/eV per cell: 3.4
SG: No. 8
E above lowest polymorph, meV per atom: 124
Magnetization, Bohr magnetons per cell: 0.0
Calculated formation energy, eV/atom: 0.406
V, A^3/atom: 36.92

---

Entry 6:
A plane-wave DFT calculation with PBE-GGA was carried out for a relaxed CsSnTe2N crystal.

extended XYZ file:
```
5
Lattice="6.545 0.000 0.000 0.000 6.545 0.000 0.000 0.000 3.871" Properties=species:S:1:pos:R:3 pbc="T T T"
Cs 0.000 0.000 0.000
Sn 3.273 3.273 1.935
Te 0.000 3.273 1.935
Te 3.273 0.000 1.935
N 3.273 3.273 0.000
```

Summary:
D(E_F), states/eV per cell: 4.5
SG: No. 123
E above lowest polymorph, meV per atom: 0
Energy relative to the elements, uncorrected, eV/atom: 0.316
Magnetization, Bohr magnetons per cell: 0.2
V, A^3/atom: 33.17

---

Entry 7:
A plane-wave DFT calculation with PBE-GGA was carried out for a relaxed FeSbPd crystal.

extended XYZ file:
```
6
Lattice="6.869 -1.975 0.000 6.869 1.975 0.000 -1.127 0.000 3.803" Properties=species:S:1:pos:R:3 pbc="T T T"
Fe 0.000 0.000 0.000
Fe 6.306 0.000 1.902
Sb 1.327 0.000 2.462
Sb 11.285 0.000 1.341
Pd 3.963 0.000 3.274
Pd 8.649 0.000 0.529
```

Summary:
D(E_F), states/eV per cell: 3.6
SG: No. 12
Energy relative to the elements, uncorrected, eV/atom: -0.150
Magnetization, Bohr magnetons per cell: 5.3
V, A^3/atom: 17.20

---

Entry 8:
A plane-wave DFT calculation with PBE-GGA was carried out for a relaxed Be2AlPd2 crystal.

extended XYZ file:
```
10
Lattice="6.471 0.000 0.000 0.000 6.471 0.000 0.000 0.000 2.889" Properties=species:S:1:pos:R:3 pbc="T T T"
Be 0.780 2.455 0.000
Be 2.455 5.691 0.000
Be 4.016 0.780 0.000
Be 5.691 4.016 0.000
Al 0.000 0.000 0.000
Al 3.235 3.235 0.000
Pd 1.119 4.355 1.444
Pd 2.116 1.119 1.444
Pd 4.355 5.352 1.444
Pd 5.352 2.116 1.444
```

Summary:
D(E_F), states/eV per cell: 3.1
SG: No. 127
E above lowest polymorph, meV per atom: 0
Magnetization, Bohr magnetons per cell: 0.0
Calculated formation energy, eV/atom: -0.568
V, A^3/atom: 12.10

---

Entry 9:
A plane-wave DFT calculation with PBE-GGA was carried out for a relaxed Rb2Na2Sr crystal.

extended XYZ file:
```
5
Lattice="-3.406 3.406 6.643 3.406 -3.406 6.643 3.406 3.406 -6.643" Properties=species:S:1:pos:R:3 pbc="T T T"
Rb 0.000 0.000 1.844
Rb 0.000 0.000 11.441
Na 3.406 0.000 3.321
Na 0.000 3.406 3.321
Sr 0.000 0.000 6.643
```

Summary:
D(E_F), states/eV per cell: 3.2
SG: No. 139
E above lowest polymorph, meV per atom: 116
Magnetization, Bohr magnetons per cell: 0.0
Calculated formation energy, eV/atom: 0.219
V, A^3/atom: 61.64

---

Entry 10:
A plane-wave DFT calculation with PBE-GGA was carried out for a relaxed KTmSiS4 crystal.

extended XYZ file:
```
14
Lattice="6.354 0.000 0.000 0.000 6.621 0.000 -2.602 0.000 8.306" Properties=species:S:1:pos:R:3 pbc="T T T"
K 0.355 1.655 3.632
K 3.396 4.966 4.674
Tm -0.723 1.655 7.897
Tm 4.475 4.966 0.409
Si 1.288 4.966 1.394
Si 2.464 1.655 6.912
S -1.968 4.966 7.687
S -0.373 4.966 2.691
S 2.626 3.317 1.710
S 2.626 6.614 1.710
S 1.126 0.007 6.596
S 1.126 3.303 6.596
S 4.125 1.655 5.615
S 5.720 1.655 0.618
```

Summary:
D(E_F), states/eV per cell: 0.0
SG: No. 11
Energy relative to the elements, uncorrected, eV/atom: -1.404
Magnetization, Bohr magnetons per cell: 0.0
V, A^3/atom: 24.96

---

Entry 11:
A plane-wave DFT calculation with PBE-GGA was carried out for a relaxed NaLi2Hg4Bi crystal.

extended XYZ file:
```
8
Lattice="4.294 0.000 0.000 0.000 4.294 0.000 0.000 0.000 11.120" Properties=species:S:1:pos:R:3 pbc="T T T"
Na 0.000 0.000 0.000
Li 2.147 2.147 4.270
Li 2.147 2.147 6.849
Hg 0.000 2.147 2.429
Hg 0.000 2.147 8.691
Hg 2.147 0.000 2.429
Hg 2.147 0.000 8.691
Bi 0.000 0.000 5.560
```

Summary:
D(E_F), states/eV per cell: 2.3
SG: No. 123
Magnetization, Bohr magnetons per cell: 0.0
Calculated formation energy, eV/atom: -0.172
V, A^3/atom: 25.63

---

Entry 12:
A plane-wave DFT calculation with PBE-GGA was carried out for a relaxed Ca2UCr2C4 crystal.

extended XYZ file:
```
9
Lattice="6.592 -1.759 0.000 6.592 1.759 0.000 -1.953 0.000 5.691" Properties=species:S:1:pos:R:3 pbc="T T T"
Ca 1.617 0.000 0.280
Ca 9.615 0.000 5.411
U -0.976 0.000 2.845
Cr 3.216 0.000 2.863
Cr 8.016 0.000 2.828
C 1.427 0.000 3.696
C 4.681 0.000 4.101
C 6.551 0.000 1.589
C 9.805 0.000 1.995
```

Summary:
D(E_F), states/eV per cell: 7.2
SG: No. 12
Magnetization, Bohr magnetons per cell: 1.5
Calculated formation energy, eV/atom: 0.062
V, A^3/atom: 14.66

---

Which of these has the lowest V?
Be2AlPd2

---

What is the formula in the eleventh record?
NaLi2Hg4Bi

---

Among the records above, which one has the highest D(E_F)?
CeMg2ZnAu2